(1)
## BaMgOs2 (PBE)

Data for a geometry-optimized BaMgOs2 structure.

Results
Volume ... 80 Å³ per cell
Mass density ... 11.28 g cm⁻³
Formation energy ... 1.06 eV/atom
Density of states at the Fermi level ... 4.42 states/eV per cell

Cell lengths 2.952, 2.952, 9.157 Å; angles 90.00, 90.00, 90.00 degrees
Sites, in units of the cell vectors:
Ba 0.500 0.500 0.250
Mg 0.500 0.500 0.750
Os 0.000 0.000 0.958
Os 0.000 0.000 0.542

(2)
## BaMgOs2 (PBE)

Data for a geometry-optimized BaMgOs2 structure.

Results
Volume ... 83 Å³ per cell
Mass density ... 10.91 g cm⁻³
Formation energy ... 1.26 eV/atom
Density of states at the Fermi level ... 4.99 states/eV per cell

Cell lengths 4.612, 4.230, 4.230 Å; angles 90.00, 90.00, 90.00 degrees
Sites, in units of the cell vectors:
Ba 0.500 0.500 0.000
Mg 0.500 0.000 0.500
Os 0.000 0.000 0.000
Os 0.000 0.500 0.500

Q: Which of these has the lowest volume?
A: number 1

Q: Look up the volume of the second one.
A: 83 Å³ per cell